A geometry-optimized BiCF2 structure. Source: Alexandria via LeMat-Bulk, functional PBEsol.

Cell: 3.470 3.470 6.494 Å, 74.50 74.50 60.00°
Each line ends with the local moment (μB).
Atoms (fractional coordinates):
Bi1 0.000 0.000 0.000  0.01
F1 0.124 0.124 0.627  0.02
C1 0.500 0.500 0.500  0.46
F2 0.876 0.876 0.373  0.02

Values from the calculation:
As for the energy: -3.88 eV per atom. The calculation puts the spin magnetization at 0.91 μB/f.u. The value obtained for the volume is 16.102 A^3/atom.